[1]
Here is a relaxed structure of PrDy2Er8 from Alexandria via LeMat-Bulk. Energies are from PBE.

abc: 9.332 9.332 9.332
angles: 146.09 128.82 62.82
Atoms (fractional coordinates):
Pr (0.000, 0.000, 0.000)
Dy (0.301, 0.301, 0.000)
Dy (0.699, 0.699, 0.000)
Er (0.152, 0.859, 0.293)
Er (0.163, 0.663, 0.500)
Er (0.295, 0.500, 0.795)
Er (0.434, 0.141, 0.293)
Er (0.566, 0.859, 0.707)
Er (0.705, 0.500, 0.205)
Er (0.837, 0.337, 0.500)
Er (0.848, 0.141, 0.707)

Computed properties:
total moment: 0.000 Bohr magnetons per cell
raw total energy: -0.1644 Ha/atom
symmetry: Immm
density of states at the Fermi level: 1.333 states/eV/atom
relative energy among the computed polymorphs: 92.5 meV/atom

---

[2]
Here is a relaxed structure of Pr4DyEr from Alexandria via LeMat-Bulk. Energies are from PBE.

abc: 5.712 5.712 7.100
angles: 95.89 95.89 63.80
Atoms (fractional coordinates):
Pr (0.166, 0.166, 0.152)
Pr (0.167, 0.167, 0.652)
Pr (0.833, 0.833, 0.348)
Pr (0.834, 0.834, 0.848)
Dy (0.500, 0.500, 0.000)
Er (0.500, 0.500, 0.500)

Computed properties:
total moment: 0.000 Bohr magnetons per cell
raw total energy: -0.1693 Ha/atom
symmetry: C2/m
density of states at the Fermi level: 1.808 states/eV/atom
relative energy among the computed polymorphs: 83.3 meV/atom

---

| no. | volume (Å³ per cell) |
| --- | --- |
| 1 | 349.5 |
| 2 | 206.3 |